[1]
DFT (PBE) results for a relaxed Sc2SnF crystal.

Geometry as extended XYZ:
```
4
Lattice="0.000 3.437 3.437 3.437 0.000 3.437 3.437 3.437 0.000" Properties=species:S:1:pos:R:3 pbc="T T T"
Sc 1.719 1.719 1.719
Sc 5.156 5.156 5.156
Sn 3.437 3.437 3.437
F 0.000 0.000 0.000
```

Energy above the most stable polymorph in this dataset ... 331.1 meV/atom

***

[2]
DFT (PBE) results for a relaxed Sc2SnF crystal.

Geometry as extended XYZ:
```
4
Lattice="-4.307 -2.542 7.759 -1.135 -2.949 8.674 -2.551 0.055 8.872" Properties=species:S:1:pos:R:3 pbc="T T T"
Sc -7.395 -5.029 23.411
Sc -0.598 -0.407 1.894
Sn -3.997 -2.718 12.652
F 0.000 0.000 0.000
```

Energy above the most stable polymorph in this dataset ... 115.5 meV/atom

***

[3]
DFT (PBE) results for a relaxed ScSnF3 crystal.

Geometry as extended XYZ:
```
5
Lattice="-1.831 3.646 -1.404 0.296 -1.417 -4.065 -3.896 -1.821 0.351" Properties=species:S:1:pos:R:3 pbc="T T T"
Sc 0.000 0.000 0.000
Sn -2.715 0.204 -2.559
F 0.148 -0.708 -2.032
F -1.948 -0.911 0.175
F -0.915 1.823 -0.702
```

Energy above the most stable polymorph in this dataset ... 0.0 meV/atom

***

[4]
DFT (PBE) results for a relaxed ScSnF3 crystal.

Geometry as extended XYZ:
```
5
Lattice="-1.604 -2.100 3.834 4.261 0.158 1.870 -0.974 4.153 1.867" Properties=species:S:1:pos:R:3 pbc="T T T"
Sc 0.842 1.106 3.785
Sn 0.000 0.000 0.000
F 2.131 0.079 0.935
F -0.487 2.076 0.934
F -0.802 -1.050 1.917
```

Energy above the most stable polymorph in this dataset ... 892.4 meV/atom

***

[5]
DFT (PBE) results for a relaxed ScSn2F crystal.

Geometry as extended XYZ:
```
8
Lattice="4.069 0.000 0.000 0.000 4.069 0.000 2.034 2.034 11.006" Properties=species:S:1:pos:R:3 pbc="T T T"
Sc 0.000 0.000 0.000
Sc 4.069 2.034 5.503
Sn 3.061 1.017 2.752
Sn 1.008 3.051 2.752
Sn 3.051 3.042 8.255
Sn 5.086 5.095 8.255
F 2.034 2.034 0.000
F 2.034 4.069 5.503
```

Energy above the most stable polymorph in this dataset ... 0.0 meV/atom

***

[6]
DFT (PBE) results for a relaxed ScSnTeF2 crystal.

Geometry as extended XYZ:
```
5
Lattice="-0.246 -4.109 1.545 -0.783 -1.481 -4.065 5.879 -0.684 -0.883" Properties=species:S:1:pos:R:3 pbc="T T T"
Sc 2.939 -0.342 -0.441
Te 0.000 0.000 0.000
Sn 2.425 -3.137 -1.701
F -0.391 -0.741 -2.032
F -0.123 -2.054 0.772
```

***

[7]
DFT (PBE) results for a relaxed ScTl2SnF6 crystal.

Geometry as extended XYZ:
```
20
Lattice="5.749 0.000 0.000 0.000 8.092 0.000 0.000 0.000 8.530" Properties=species:S:1:pos:R:3 pbc="T T T"
Sc 2.875 1.366 4.265
Sc 0.000 6.726 0.000
Tl 2.875 4.902 2.501
Tl 0.000 3.190 6.766
Tl 2.875 4.902 6.029
Tl 0.000 3.190 1.764
Sn 0.000 6.386 4.265
Sn 2.875 1.706 0.000
F 2.875 1.313 2.233
F 2.875 1.313 6.297
F 0.000 6.779 2.032
F 0.000 6.779 6.498
F 1.401 8.001 4.265
F 4.348 8.001 4.265
F 1.514 2.846 4.265
F 4.235 2.846 4.265
F 4.389 5.246 0.000
F 1.360 5.246 0.000
F 1.473 0.091 0.000
F 4.276 0.091 0.000
```

***

[8]
DFT (PBE) results for a relaxed ScTlSnF6 crystal.

Geometry as extended XYZ:
```
9
Lattice="6.081 0.005 0.003 3.045 5.262 -0.005 0.001 -0.003 5.338" Properties=species:S:1:pos:R:3 pbc="T T T"
Sc 3.043 1.756 2.728
Tl 3.048 5.259 5.141
Sn 6.084 3.511 2.412
F 1.389 1.406 1.654
F 5.737 5.257 3.812
F 4.743 2.337 3.813
F 7.770 2.946 3.813
F 3.571 3.356 1.647
F 4.170 0.490 1.658
```

***

Formation energy from raw total energies (computed, eV per atom): -1.093; -1.309; -2.436; -1.544; -0.720; -0.920; -2.539; -2.906